This record from Alexandria describes MnBeReTc after structural relaxation. The functional is PBE.

a b c (Å): 4.1490 4.1490 4.1490
angles (deg): 60.00 60.00 60.00
With the nearest neighbours (Å) after each atom.
Sites, in units of the cell vectors:
Re1 0.5000 0.5000 0.5000  4 Tc 2.54, 4 Mn 2.54
Mn1 0.7500 0.7500 0.7500  4 Be 2.54, 4 Re 2.54
Tc1 0.2500 0.2500 0.2500  4 Be 2.54, 4 Re 2.54
Be1 0.0000 0.0000 0.0000  4 Mn 2.54, 4 Tc 2.54

## Properties
total DFT energy (no corrections) = -8.906 eV/atom
formation energy = 0.022 eV/atom